[1]
DFT (GGA-PBE) results for YH3Se after structural relaxation.

The size of the total moment comes out at 0.00 μB per cell. For the relative energy among the computed polymorphs, the calculation gives 0 meV/atom. The total DFT energy (no corrections) is -19.963 eV per formula unit.

Geometry as CIF:
```
data_YH3Se
_chemical_formula_sum 'Y1 H3 Se1'
_cell_length_a 4.048
_cell_length_b 4.048
_cell_length_c 4.048
_cell_angle_alpha 90.00
_cell_angle_beta 90.00
_cell_angle_gamma 90.00
_symmetry_space_group_name_H-M 'P 1'
_symmetry_Int_Tables_number 1
loop_
_symmetry_equiv_pos_as_xyz
'x,y,z'
loop_
_atom_site_label
_atom_site_fract_x
_atom_site_fract_y
_atom_site_fract_z
_atom_site_occupancy
H1 0.000 0.500 0.000 1
H2 0.500 0.000 0.000 1
Y1 0.000 0.000 0.000 1
Se1 0.500 0.500 0.500 1
H3 0.000 0.000 0.500 1
```


[2]
DFT (GGA-PBE) results for LiMn2Te after structural relaxation.

The size of the total moment comes out at 7.43 μB per cell. The total DFT energy (no corrections) is -22.866 eV per formula unit.

Geometry as CIF:
```
data_LiMn2Te
_chemical_formula_sum 'Li1 Mn2 Te1'
_cell_length_a 3.529
_cell_length_b 3.529
_cell_length_c 5.686
_cell_angle_alpha 90.00
_cell_angle_beta 90.00
_cell_angle_gamma 90.00
_symmetry_space_group_name_H-M 'P 1'
_symmetry_Int_Tables_number 1
loop_
_symmetry_equiv_pos_as_xyz
'x,y,z'
loop_
_atom_site_label
_atom_site_fract_x
_atom_site_fract_y
_atom_site_fract_z
_atom_site_occupancy
Mn1 0.000 0.000 0.011 1
Mn2 0.500 0.500 0.241 1
Li1 0.500 0.500 0.754 1
Te1 0.000 0.000 0.493 1
```


[3]
DFT (GGA-PBE) results for TiAlOs2Au after structural relaxation.

The size of the total moment comes out at 0.00 μB per cell. The calculated formation energy comes out at 190.8 kJ/mol of atoms. The total DFT energy (no corrections) is -27.489 eV per formula unit.

Geometry as CIF:
```
data_TiAlOs2Au
_chemical_formula_sum 'Ti1 Al1 Os2 Au1'
_cell_length_a 4.886
_cell_length_b 4.591
_cell_length_c 4.886
_cell_angle_alpha 90.00
_cell_angle_beta 90.00
_cell_angle_gamma 90.00
_symmetry_space_group_name_H-M 'P 1'
_symmetry_Int_Tables_number 1
loop_
_symmetry_equiv_pos_as_xyz
'x,y,z'
loop_
_atom_site_label
_atom_site_fract_x
_atom_site_fract_y
_atom_site_fract_z
_atom_site_occupancy
Au1 0.000 0.000 0.000 1
Al1 0.500 0.500 0.500 1
Os1 0.000 0.000 0.500 1
Os2 0.500 0.000 0.000 1
Ti1 0.000 0.500 0.000 1
```


no.,density (g cm⁻³)
1,4.28
2,5.73
3,9.88